A plane-wave DFT calculation with PBE was carried out for a geometry-optimized Th4P3Se structure.

* formation energy (no corrections): -1568 meV/atom
* calculated total energy: -7.742 eV/atom
* density of states at the Fermi level: 5.8 states/eV/cell
* energy above the most stable polymorph in this dataset: 0 meV/atom
* V: 25.41 Å³ per atom

abc: 4.156 5.884 8.314
angles: 90.00 90.00 90.00
Space group Pmmm (No. 47)
One atom of each set of equivalent atoms:
Th 0.000 0.000 0.000
Th 0.000 0.000 0.500
Th 0.500 0.500 0.237
P 0.000 0.500 0.000
P 0.500 0.000 0.251
Se 0.000 0.500 0.500